--- w ---
A plane-wave DFT calculation with GGA-PBE was carried out for an optimized crystal structure of Hf31TeO64.

Geometry as POSCAR:
```
Hf31TeO64
1.0
10.195 0.000 0.000
-0.012 10.347 0.000
-1.727 -0.002 10.413
Hf Te O
31 1 64
Cartesian
0.000 0.000 0.000
9.329 -0.001 5.197
-0.432 2.147 2.610
8.894 2.145 7.814
-0.859 5.154 5.201
-1.294 7.319 7.800
1.739 4.739 3.017
0.866 4.763 8.271
1.741 9.914 3.032
2.196 2.575 0.434
1.330 7.752 5.637
2.190 7.759 0.446
0.898 9.891 8.253
4.642 7.310 2.602
4.651 2.149 2.607
5.088 5.167 0.002
3.791 7.314 7.809
5.082 10.339 0.008
4.244 10.297 5.188
4.262 5.183 5.215
3.882 2.127 7.865
6.861 4.733 3.041
7.286 7.753 0.440
6.852 9.910 3.036
6.439 2.578 5.644
7.301 2.583 0.460
6.010 4.735 8.251
6.447 7.748 5.643
6.008 9.885 8.253
10.179 5.165 0.004
9.742 7.320 2.608
1.471 2.586 5.723
0.125 3.700 3.922
-0.297 3.766 6.703
0.182 8.766 4.020
0.616 8.873 1.413
-0.674 3.608 9.246
0.633 3.696 1.393
-0.671 8.781 9.227
-0.240 8.855 6.615
0.647 1.026 4.131
0.234 0.972 6.868
1.121 6.204 1.621
-0.155 1.107 9.436
1.145 1.032 1.600
-0.159 6.279 9.436
0.707 6.285 4.225
0.293 6.223 6.831
2.926 3.219 2.346
2.923 8.379 2.344
2.489 9.291 4.953
1.650 4.077 10.131
2.509 4.120 4.950
1.637 9.263 10.158
2.078 8.395 7.546
2.106 3.229 7.543
3.906 6.667 0.704
3.487 0.632 3.311
2.623 5.802 8.509
2.637 0.648 8.508
3.926 1.505 0.704
3.487 5.798 3.318
3.072 6.687 5.903
3.154 1.539 5.927
5.287 3.618 4.024
5.713 3.699 1.418
5.275 8.786 4.018
5.709 8.868 1.412
4.860 3.698 6.632
4.421 8.785 9.224
4.435 3.610 9.238
4.868 8.858 6.620
6.223 1.030 1.627
5.794 1.109 4.235
6.221 6.202 1.626
4.932 6.278 9.435
5.800 6.290 4.231
5.381 1.013 6.847
5.378 6.200 6.835
4.956 1.101 9.450
7.147 3.198 7.563
8.022 3.225 2.339
7.591 4.099 4.948
6.732 4.096 10.156
8.026 8.406 2.331
7.590 9.265 4.937
6.735 9.254 10.148
7.176 8.386 7.544
8.535 0.666 3.312
8.555 5.838 3.314
7.723 0.629 8.521
9.017 1.503 0.709
9.008 6.678 0.702
8.160 1.515 5.911
8.161 6.675 5.910
7.732 5.799 8.508
```

Spin magnetization = 0.000 μB per atom

--- x ---
A plane-wave DFT calculation with GGA-PBE was carried out for an optimized crystal structure of Hf31TeO64.

Geometry as POSCAR:
```
Hf31TeO64
1.0
10.040 0.000 0.000
-0.010 10.086 0.000
-0.012 0.000 10.469
Hf Te O
31 1 64
Cartesian
0.000 0.000 0.000
-0.013 10.082 5.230
0.007 2.519 2.263
-0.004 5.029 10.454
-0.005 5.043 5.221
-0.002 7.547 2.257
0.001 7.555 7.490
2.283 0.016 7.873
2.293 7.566 4.854
2.319 5.018 7.826
2.307 7.569 10.143
2.343 0.001 2.612
2.341 2.521 4.881
2.341 2.529 10.115
2.346 5.033 2.610
5.026 2.518 2.253
5.018 7.554 2.257
5.012 10.077 10.467
5.025 2.507 7.498
5.045 0.012 5.178
5.032 5.027 10.461
5.067 5.016 5.216
7.344 5.052 7.845
7.352 2.509 10.103
7.358 5.033 2.600
7.356 7.535 4.869
7.350 7.553 10.126
7.348 10.068 7.847
7.359 10.074 2.603
7.367 2.511 4.880
10.023 2.529 7.498
4.888 7.622 7.452
0.937 8.829 8.909
0.957 6.294 3.808
0.959 1.263 9.070
0.958 6.294 9.061
0.959 8.819 3.664
0.975 1.257 3.834
0.973 3.773 8.889
0.972 3.779 3.661
1.360 1.269 6.455
1.365 8.829 1.053
1.385 1.265 1.214
1.382 3.783 1.041
1.373 3.782 6.276
1.380 6.302 1.207
1.381 6.295 6.424
1.378 8.832 6.286
3.202 6.930 8.325
3.305 6.867 3.119
3.311 1.822 8.361
3.303 9.392 9.587
3.320 4.360 9.582
3.320 9.379 4.360
3.337 1.813 3.134
3.332 4.338 4.358
4.006 9.378 6.971
4.028 1.798 5.752
4.024 9.384 1.737
4.047 1.831 0.508
4.044 4.335 1.746
4.043 6.866 0.480
4.043 4.365 6.974
4.038 6.877 5.704
5.962 6.299 3.793
5.975 1.258 9.052
5.980 3.759 8.893
5.982 8.821 3.650
5.995 1.261 3.817
5.994 3.773 3.662
5.986 8.850 8.953
6.096 6.218 9.160
6.388 1.241 6.440
6.398 1.255 1.207
6.380 3.732 6.284
6.389 6.303 1.236
6.393 8.818 1.058
6.392 8.839 6.243
6.411 3.775 1.043
6.532 6.205 6.304
8.339 1.800 8.358
8.351 1.815 3.126
8.343 4.331 4.357
8.344 6.849 3.125
8.339 9.394 4.352
8.336 9.387 9.595
8.348 6.872 8.351
8.369 4.296 9.577
9.060 1.811 0.517
9.057 1.819 5.746
9.064 4.337 1.741
9.061 6.842 0.513
9.052 9.366 1.740
9.052 9.385 6.978
9.059 4.349 6.971
9.104 6.899 5.716
```

Spin magnetization = 0.000 μB per atom

So which one is most stable? That would be w, about 0.028 eV/atom below the next structure.

--- w ---
A plane-wave DFT calculation with GGA-PBE was carried out for an optimized crystal structure of Tm2Hf2O5.

Geometry as POSCAR:
```
Tm2Hf2O5
1.0
4.048 0.000 0.000
0.000 4.048 0.000
0.000 0.000 7.341
Tm Hf O
2 2 5
Cartesian
0.000 0.000 0.000
0.000 0.000 3.671
2.024 2.024 1.609
2.024 2.024 5.732
0.000 2.024 1.954
0.000 2.024 5.387
2.024 0.000 1.954
2.024 0.000 5.387
2.024 2.024 3.671
```

Spin magnetization = 0.001 μB per atom

--- x ---
A plane-wave DFT calculation with GGA-PBE was carried out for an optimized crystal structure of Tm2Hf2O5.

Geometry as POSCAR:
```
Tm2Hf2O5
1.0
3.566 0.000 0.000
0.000 3.566 0.000
0.000 0.000 9.802
Tm Hf O
2 2 5
Cartesian
0.000 0.000 2.435
0.000 0.000 7.367
1.783 1.783 0.000
1.783 1.783 4.901
0.000 0.000 4.901
0.000 1.783 1.255
0.000 1.783 8.546
1.783 0.000 1.255
1.783 0.000 8.546
```

Spin magnetization = 0.001 μB per atom

So which one is most stable? That would be x, about 0.090 eV/atom below the next structure.

--- w ---
A plane-wave DFT calculation with GGA-PBE was carried out for an optimized crystal structure of Hf31ZnO64.

Geometry as POSCAR:
```
Hf31ZnO64
1.0
10.030 0.000 0.000
0.032 10.079 0.000
0.008 0.021 10.432
Hf Zn O
31 1 64
Cartesian
0.000 0.000 0.000
0.036 10.089 5.244
0.025 2.506 7.504
0.051 7.622 7.498
2.313 7.578 4.899
2.296 0.019 2.622
2.311 2.519 4.910
2.324 7.622 10.073
2.323 2.549 10.116
2.325 5.044 7.856
2.321 5.058 2.637
4.987 7.620 7.506
4.969 0.047 5.250
5.008 5.081 5.237
5.010 2.544 2.292
5.020 7.578 2.289
5.006 0.026 0.009
5.020 5.077 0.022
5.024 2.584 7.501
7.323 0.048 7.842
7.323 0.016 2.632
7.345 5.063 2.634
7.347 7.591 4.906
7.358 7.607 10.102
7.339 2.548 4.899
7.345 2.572 10.102
7.363 5.102 7.838
10.024 2.539 2.289
10.028 5.050 5.256
10.030 5.058 0.026
10.037 7.577 2.281
2.431 0.182 7.882
0.908 8.833 8.952
0.938 1.311 9.066
0.937 3.811 8.920
0.949 6.320 3.842
0.943 1.279 3.832
0.954 3.796 3.696
0.967 6.324 9.045
0.969 8.847 3.644
1.279 8.765 6.196
1.353 1.280 1.231
1.369 6.323 1.227
1.373 3.782 6.309
1.368 3.803 1.090
1.384 6.292 6.450
1.372 1.243 6.439
1.392 8.842 1.083
3.305 4.371 4.389
3.307 4.406 9.627
3.319 6.873 8.362
3.318 6.879 3.133
3.320 9.407 4.367
3.308 1.843 3.154
3.311 2.042 8.377
3.347 9.415 9.604
4.030 6.907 5.748
4.037 9.406 1.758
4.034 9.429 6.984
4.016 1.840 0.556
4.030 4.373 1.776
4.031 6.902 0.534
4.046 4.416 6.991
4.040 1.888 5.752
5.954 1.322 9.054
5.971 8.853 3.679
5.964 1.293 3.840
5.971 3.812 3.684
5.982 3.846 8.898
5.982 6.333 3.846
5.983 6.360 9.066
5.992 8.873 8.892
6.376 8.876 6.283
6.370 6.358 6.459
6.390 8.845 1.074
6.380 3.809 1.078
6.386 6.327 1.239
6.381 1.290 1.230
6.384 1.310 6.441
6.394 3.837 6.283
8.327 9.444 9.602
8.317 1.844 3.144
8.318 1.867 8.361
8.324 4.404 9.602
8.329 6.891 3.150
8.341 9.399 4.373
8.330 4.364 4.373
8.345 6.918 8.360
9.023 9.408 6.975
9.025 6.852 5.768
9.043 6.884 0.539
9.050 9.403 1.758
9.048 4.356 6.993
9.045 4.369 1.774
9.049 1.856 5.758
9.045 1.864 0.529
```

Spin magnetization = 0.019 μB per atom

--- x ---
A plane-wave DFT calculation with GGA-PBE was carried out for an optimized crystal structure of Hf31ZnO64.

Geometry as POSCAR:
```
Hf31ZnO64
1.0
10.213 0.000 0.000
-0.020 10.301 0.000
-1.765 -0.018 10.394
Hf Zn O
31 1 64
Cartesian
0.000 0.000 0.000
-0.878 -0.002 5.195
-0.443 2.153 2.595
-1.336 7.292 7.787
-1.767 5.143 10.380
-1.312 2.122 7.792
1.744 4.737 3.039
2.197 2.583 0.438
1.314 2.578 5.632
0.871 4.714 8.223
2.185 7.734 0.437
1.317 7.709 5.624
0.872 9.864 8.229
1.747 9.879 3.043
3.341 0.002 10.392
3.773 7.286 7.779
4.653 7.304 2.602
4.667 2.180 2.617
3.338 5.139 10.390
4.254 0.035 5.202
3.817 2.144 7.764
4.256 5.098 5.190
5.952 4.715 8.193
6.831 4.699 3.055
6.832 9.911 3.044
7.302 2.574 0.424
7.284 7.735 0.442
6.403 7.731 5.623
5.957 9.860 8.223
9.281 5.118 5.193
9.741 7.296 2.603
6.499 2.472 5.686
0.171 3.612 4.010
0.610 3.697 1.405
0.175 8.759 4.006
-0.709 8.752 9.207
0.610 8.838 1.412
-0.694 3.605 9.208
-0.255 3.676 6.614
-0.262 8.828 6.604
0.660 6.258 4.216
0.231 6.178 6.818
1.112 6.199 1.615
1.127 1.042 1.620
-0.189 1.094 9.417
0.691 1.113 4.216
-0.202 6.253 9.414
0.278 1.026 6.824
2.922 3.245 2.314
2.496 4.064 4.914
1.624 4.051 10.113
2.060 8.375 7.512
2.944 8.408 2.310
1.615 9.198 10.112
2.077 3.239 7.511
2.505 9.206 4.915
3.429 5.854 3.319
3.011 1.479 5.908
3.463 0.686 3.319
3.907 1.492 0.717
2.579 5.809 8.512
3.018 6.608 5.910
3.897 6.639 0.714
2.594 0.661 8.511
5.180 3.721 3.890
4.406 3.607 9.202
4.843 3.677 6.622
4.390 8.751 9.207
5.274 8.783 4.007
4.832 8.807 6.598
5.715 8.851 1.413
5.743 3.679 1.378
5.317 0.974 6.840
5.780 1.146 4.207
6.215 6.189 1.620
6.239 1.053 1.615
4.909 6.249 9.408
5.784 6.286 4.212
4.920 1.099 9.420
5.354 6.186 6.804
7.573 4.058 4.920
8.035 8.401 2.324
7.168 8.389 7.507
6.720 9.188 10.119
7.603 9.213 4.914
8.066 3.255 2.299
6.748 4.025 10.075
7.192 3.234 7.587
8.549 5.817 3.321
8.991 6.621 0.719
8.119 6.635 5.907
7.694 0.648 8.519
8.582 0.671 3.314
9.018 1.484 0.715
7.682 5.814 8.502
8.197 1.472 5.942
```

Spin magnetization = 0.010 μB per atom

So which one is most stable? That would be x, about 0.026 eV/atom below the next structure.